First-principles (PBE) data for a geometry-optimized Ho2Sc2Se2S3 structure, as listed in the Alexandria database.

Unit cell a=9.470 b=9.470 c=9.470 alpha=150.58 beta=150.58 gamma=42.09
Atoms (fractional coordinates):
1 Ho 0.181 0.181 0.000
2 Ho 0.819 0.819 0.000
3 Sc 0.000 0.500 0.500
4 Sc 0.500 0.000 0.500
5 Se 0.403 0.403 0.000
6 Se 0.597 0.597 0.000
7 S 0.000 0.000 0.000
8 S 0.250 0.750 0.500
9 S 0.750 0.250 0.500

Values from the calculation:
* E: -6.15 eV/atom
* magnetic moment: 0.0 Bohr magnetons per cell